--- P ---
A plane-wave DFT calculation with GGA-PBE was carried out for a relaxed structure of Pm2ErNi. Values from VASP.

## Properties
Fermi-level density of states	6.76	states/eV per cell
crystal system	tetragonal
SG	P4/mmm, No. 123
total magnetic moment	0.00	μB per atom

```
&SYSTEM
  ibrav = 0, nat = 4, ntyp = 3
/
ATOMIC_SPECIES
Ni 58.69 Ni.upf
Pm 145.00 Pm.upf
Er 167.26 Er.upf
ATOMIC_POSITIONS crystal
Ni 0.5000 0.5000 0.0000
Pm 0.0000 0.0000 0.8067
Pm 0.0000 0.0000 0.1933
Er 0.5000 0.5000 0.5000
CELL_PARAMETERS angstrom
3.5440 0.0000 0.0000
0.0000 3.5440 0.0000
0.0000 0.0000 8.6027
```

=====

--- Q ---
A plane-wave DFT calculation with GGA-PBE was carried out for a relaxed structure of Pm2ErNi. Values from VASP.

## Properties
Fermi-level density of states	15.38	states/eV per cell
crystal system	orthorhombic
SG	Pnma, No. 62
total magnetic moment	0.00	μB per atom

```
&SYSTEM
  ibrav = 0, nat = 16, ntyp = 3
/
ATOMIC_SPECIES
Pm 145.00 Pm.upf
Er 167.26 Er.upf
Ni 58.69 Ni.upf
ATOMIC_POSITIONS crystal
Pm 0.1763 0.6806 0.0663
Pm 0.3237 0.1806 0.4337
Pm 0.8237 0.3194 0.5663
Pm 0.6763 0.8194 0.9337
Pm 0.8237 0.3194 0.9337
Pm 0.6763 0.8194 0.5663
Pm 0.1763 0.6806 0.4337
Pm 0.3237 0.1806 0.0663
Er 0.6502 0.5373 0.2500
Er 0.8498 0.0373 0.2500
Er 0.3498 0.4627 0.7500
Er 0.1502 0.9627 0.7500
Ni 0.0525 0.3879 0.2500
Ni 0.4475 0.8879 0.2500
Ni 0.9475 0.6121 0.7500
Ni 0.5525 0.1121 0.7500
CELL_PARAMETERS angstrom
6.3501 0.0000 0.0000
0.0000 6.9310 0.0000
0.0000 0.0000 9.8785
```

=====

--- R ---
A plane-wave DFT calculation with GGA-PBE was carried out for a relaxed structure of Pm2ErNi. Values from VASP.

## Properties
Fermi-level density of states	5.34	states/eV per cell
crystal system	trigonal
SG	R-3m, No. 166
total magnetic moment	0.00	μB per atom

```
&SYSTEM
  ibrav = 0, nat = 4, ntyp = 3
/
ATOMIC_SPECIES
Ni 58.69 Ni.upf
Pm 145.00 Pm.upf
Er 167.26 Er.upf
ATOMIC_POSITIONS crystal
Ni 0.5000 0.5000 0.5000
Pm 0.1100 0.1100 0.6701
Pm 0.8900 0.8900 0.3299
Er 0.0000 0.0000 0.0000
CELL_PARAMETERS angstrom
-0.2413 3.6164 -0.3002
-3.2399 1.6333 0.2497
0.1089 2.6908 10.2984
```

=====

Order of stability, best first: Q, P, R

=====

--- P ---
A plane-wave DFT calculation with GGA-PBE was carried out for a relaxed structure of PmEr3Ni. Values from VASP.

## Properties
Fermi-level density of states	10.62	states/eV per cell
crystal system	hexagonal
SG	P6_3/mmc, No. 194
total magnetic moment	0.00	μB per atom

```
&SYSTEM
  ibrav = 0, nat = 10, ntyp = 3
/
ATOMIC_SPECIES
Pm 145.00 Pm.upf
Er 167.26 Er.upf
Ni 58.69 Ni.upf
ATOMIC_POSITIONS crystal
Pm 0.7497 0.6668 0.3336
Pm 0.2503 0.3332 0.6664
Er 0.7500 0.6467 0.8235
Er 0.2500 0.8234 0.6468
Er 0.2500 0.3533 0.1765
Er 0.7500 0.1766 0.3532
Er 0.2500 0.8232 0.1765
Er 0.7500 0.1768 0.8235
Ni 0.0000 0.0000 0.0000
Ni 0.5000 0.0000 0.0000
CELL_PARAMETERS angstrom
-3.0248 -3.6402 3.4454
6.3495 -3.0492 2.3528
-2.8876 5.8136 3.6070
```

=====

--- Q ---
A plane-wave DFT calculation with GGA-PBE was carried out for a relaxed structure of PmEr3Ni. Values from VASP.

## Properties
Fermi-level density of states	8.56	states/eV per cell
crystal system	cubic
SG	Pm-3m, No. 221
total magnetic moment	0.00	μB per atom

```
&SYSTEM
  ibrav = 0, nat = 5, ntyp = 3
/
ATOMIC_SPECIES
Ni 58.69 Ni.upf
Pm 145.00 Pm.upf
Er 167.26 Er.upf
ATOMIC_POSITIONS crystal
Ni 0.0000 0.0000 0.0000
Pm 0.5000 0.5000 0.5000
Er 0.0000 0.5000 0.0000
Er 0.0000 0.0000 0.5000
Er 0.5000 0.0000 0.0000
CELL_PARAMETERS angstrom
-1.2242 -0.4987 -5.1103
5.1328 -0.2550 -1.2047
-0.1331 -5.2487 0.5441
```

=====

Order of stability, best first: P, Q

=====

--- P ---
A plane-wave DFT calculation with GGA-PBE was carried out for a relaxed structure of PmErNi2. Values from VASP.

## Properties
Fermi-level density of states	2.50	states/eV per cell
crystal system	orthorhombic
SG	Amm2, No. 38
total magnetic moment	0.00	μB per atom

```
&SYSTEM
  ibrav = 0, nat = 4, ntyp = 3
/
ATOMIC_SPECIES
Pm 145.00 Pm.upf
Er 167.26 Er.upf
Ni 58.69 Ni.upf
ATOMIC_POSITIONS crystal
Pm 0.4417 0.5000 0.4216
Er 0.7191 0.0000 0.9774
Ni 0.1564 0.5000 0.8524
Ni 0.0138 0.0000 0.5666
CELL_PARAMETERS angstrom
-3.4770 -1.4509 0.1474
0.7942 -2.2590 -3.5012
3.4744 -3.1382 2.8129
```

=====

--- Q ---
A plane-wave DFT calculation with GGA-PBE was carried out for a relaxed structure of PmErNi2. Values from VASP.

## Properties
Fermi-level density of states	4.43	states/eV per cell
crystal system	cubic
SG	Fm-3m, No. 225
total magnetic moment	0.00	μB per atom

```
&SYSTEM
  ibrav = 0, nat = 4, ntyp = 3
/
ATOMIC_SPECIES
Ni 58.69 Ni.upf
Pm 145.00 Pm.upf
Er 167.26 Er.upf
ATOMIC_POSITIONS crystal
Ni 0.2500 0.2500 0.2500
Ni 0.7500 0.7500 0.7500
Pm 0.0000 0.0000 0.0000
Er 0.5000 0.5000 0.5000
CELL_PARAMETERS angstrom
4.8202 0.0000 0.0000
2.4101 4.1744 0.0000
2.4101 1.3915 3.9357
```

=====

Order of stability, best first: P, Q

=====

--- P ---
A plane-wave DFT calculation with GGA-PBE was carried out for a relaxed structure of Pm2ErNi2. Values from VASP.

## Properties
Fermi-level density of states	7.45	states/eV per cell
crystal system	monoclinic
SG	P2_1/m, No. 11
total magnetic moment	0.00	μB per atom

```
&SYSTEM
  ibrav = 0, nat = 10, ntyp = 3
/
ATOMIC_SPECIES
Pm 145.00 Pm.upf
Er 167.26 Er.upf
Ni 58.69 Ni.upf
ATOMIC_POSITIONS crystal
Pm 0.2500 0.7657 0.8779
Pm 0.7500 0.2343 0.1221
Pm 0.2500 0.2902 0.5365
Pm 0.7500 0.7098 0.4635
Er 0.2500 0.8122 0.2061
Er 0.7500 0.1878 0.7939
Ni 0.2500 0.8991 0.6439
Ni 0.7500 0.1009 0.3561
Ni 0.2500 0.3436 0.9746
Ni 0.7500 0.6564 0.0254
CELL_PARAMETERS angstrom
-1.6295 3.3140 2.3137
-3.6344 -3.3695 2.2667
9.6540 0.7973 5.6570
```

=====

--- Q ---
A plane-wave DFT calculation with GGA-PBE was carried out for a relaxed structure of Pm2ErNi2. Values from VASP.

## Properties
Fermi-level density of states	9.17	states/eV per cell
crystal system	tetragonal
SG	P4/mbm, No. 127
total magnetic moment	0.00	μB per atom

```
&SYSTEM
  ibrav = 0, nat = 10, ntyp = 3
/
ATOMIC_SPECIES
Pm 145.00 Pm.upf
Er 167.26 Er.upf
Ni 58.69 Ni.upf
ATOMIC_POSITIONS crystal
Pm 0.5000 0.1676 0.6676
Pm 0.5000 0.6676 0.8324
Pm 0.5000 0.8324 0.3324
Pm 0.5000 0.3324 0.1676
Er 0.0000 0.0000 0.0000
Er 0.0000 0.5000 0.5000
Ni 0.0000 0.3781 0.8781
Ni 0.0000 0.8781 0.6219
Ni 0.0000 0.6219 0.1219
Ni 0.0000 0.1219 0.3781
CELL_PARAMETERS angstrom
-0.9850 -1.0481 -3.6498
-4.8761 -5.1573 2.7969
-5.5454 5.2389 -0.0078
```

=====

Order of stability, best first: Q, P